BaNa2ZrSb | PBEsol | relaxed

a = 5.696 Å, b = 5.696 Å, c = 6.211 Å
α = 90.00°, β = 90.00°, γ = 90.00°
Site moments in Bohr magnetons follow the coordinates.
Element x y z (fractional)
Sb 0.500 0.500 0.500  -0.15
Ba 0.000 0.000 0.500  0.21
Zr 0.000 0.000 0.000  1.81
Na 0.000 0.500 0.000  0.05
Na 0.500 0.000 0.000  0.05

Computed properties:
**D(E_F)**: 1.16 states/eV/atom
**Space-group type**: No. 123
**Calculated total energy**: -13.6 eV/cell

Ta2NiPt | PBEsol | relaxed

a = 2.814 Å, b = 2.814 Å, c = 9.051 Å
α = 81.06°, β = 81.06°, γ = 60.00°
Element x y z (fractional)
Ni 0.500 0.500 0.500
Pt 0.000 0.000 0.000
Ta 0.246 0.246 0.261
Ta 0.754 0.754 0.739

Computed properties:
**Calculated formation energy**: -0.114 eV/atom
**D(E_F)**: 0.90 states/eV/atom
**Space-group type**: No. 166

SbPCO2 | PBEsol | relaxed

a = 3.754 Å, b = 3.754 Å, c = 5.389 Å
α = 90.00°, β = 90.00°, γ = 90.00°
Site moments in Bohr magnetons follow the coordinates.
Element x y z (fractional)
Sb 0.000 0.000 0.000  0.01
C 0.500 0.500 0.500  0.37
O 0.000 0.500 0.000  0.01
O 0.500 0.000 0.000  0.01
P 0.000 0.000 0.500  -0.04

Computed properties:
**D(E_F)**: 0.81 states/eV/atom
**Space-group type**: No. 123
**Calculated total energy**: -25.7 eV/cell

LiZr3As | PBEsol | relaxed

a = 5.012 Å, b = 5.012 Å, c = 5.012 Å
α = 90.00°, β = 90.00°, γ = 90.00°
Element x y z (fractional)
As 0.000 0.000 0.000
Zr 0.000 0.500 0.000
Zr 0.000 0.000 0.500
Zr 0.500 0.000 0.000
Li 0.500 0.500 0.500

Computed properties:
**Calculated formation energy**: 0.145 eV/atom
**D(E_F)**: 0.79 states/eV/atom
**Space-group type**: No. 221

DyFe2B2 | PBEsol | relaxed

a = 3.555 Å, b = 3.555 Å, c = 5.262 Å
α = 109.74°, β = 109.74°, γ = 90.00°
Site moments in Bohr magnetons follow the coordinates.
Element x y z (fractional)
B 0.654 0.654 0.309  -0.04
B 0.346 0.346 0.691  -0.04
Fe 0.250 0.750 0.500  0.66
Fe 0.750 0.250 0.500  0.66
Dy 0.000 0.000 0.000  -0.04

Computed properties:
**Calculated formation energy**: -0.499 eV/atom
**D(E_F)**: 0.74 states/eV/atom
**Space-group type**: No. 139

CoTcRh2 | PBEsol | relaxed

a = 2.634 Å, b = 4.540 Å, c = 4.540 Å
α = 109.40°, β = 90.00°, γ = 90.00°
Site moments in Bohr magnetons follow the coordinates.
Element x y z (fractional)
Co 0.500 0.500 0.500  0.83
Rh 0.000 0.500 0.000  0.06
Rh 0.000 0.000 0.500  0.06
Tc 0.500 0.000 0.000  -0.06

Computed properties:
**Calculated formation energy**: 0.041 eV/atom
**D(E_F)**: 1.25 states/eV/atom
**Space-group type**: No. 65

CaZnC2O6 | PBEsol | relaxed

a = 4.820 Å, b = 4.820 Å, c = 5.990 Å
α = 66.28°, β = 66.28°, γ = 60.00°
Element x y z (fractional)
C 0.758 0.758 0.727
C 0.242 0.242 0.273
Ca 0.000 0.000 0.000
Zn 0.500 0.500 0.500
O 0.730 0.037 0.731
O 0.037 0.502 0.731
O 0.498 0.270 0.269
O 0.270 0.963 0.269
O 0.963 0.498 0.269
O 0.502 0.730 0.731

Computed properties:
**D(E_F)**: 0.00 states/eV/atom
**Space-group type**: No. 148
**Calculated total energy**: -73.1 eV/cell

ScAgS3 | PBEsol | relaxed

a = 4.841 Å, b = 4.841 Å, c = 4.841 Å
α = 90.00°, β = 90.00°, γ = 90.00°
Site moments in Bohr magnetons follow the coordinates.
Element x y z (fractional)
Sc 0.000 0.000 0.000  0.00
S 0.000 0.500 0.000  0.06
S 0.000 0.000 0.500  0.06
S 0.500 0.000 0.000  0.06
Ag 0.500 0.500 0.500  0.01

Computed properties:
**D(E_F)**: 1.27 states/eV/atom
**Space-group type**: No. 221
**Calculated total energy**: -24.3 eV/cell

MnCuMoSe2 | PBEsol | relaxed

a = 4.786 Å, b = 4.786 Å, c = 4.753 Å
α = 90.00°, β = 90.00°, γ = 90.00°
Site moments in Bohr magnetons follow the coordinates.
Element x y z (fractional)
Mo 0.000 0.000 0.000  -0.43
Mn 0.000 0.000 0.500  3.75
Cu 0.500 0.500 0.500  -0.03
Se 0.000 0.500 0.000  0.01
Se 0.500 0.000 0.000  0.01

Computed properties:
**D(E_F)**: 0.61 states/eV/atom
**Space-group type**: No. 123
**Calculated total energy**: -29.2 eV/cell

Li2AgAu | PBEsol | relaxed

a = 2.766 Å, b = 4.161 Å, c = 5.390 Å
α = 90.00°, β = 90.00°, γ = 90.00°
Element x y z (fractional)
Au 0.500 0.500 0.770
Ag 0.000 0.000 0.486
Li 0.000 0.000 0.976
Li 0.500 0.500 0.267

Computed properties:
**Calculated formation energy**: -0.308 eV/atom
**D(E_F)**: 0.24 states/eV/atom
**Space-group type**: No. 25

H12PbN3Cl5 | PBEsol | relaxed

a = 7.879 Å, b = 8.554 Å, c = 15.906 Å
α = 90.00°, β = 90.00°, γ = 90.00°
Element x y z (fractional)
H 0.537 0.777 0.750
H 0.463 0.223 0.250
H 0.963 0.277 0.250
H 0.037 0.723 0.750
H 0.794 0.840 0.559
H 0.206 0.160 0.441
H 0.706 0.340 0.441
H 0.206 0.160 0.059
H 0.294 0.660 0.559
H 0.794 0.840 0.941
H 0.294 0.660 0.941
H 0.706 0.340 0.059
H 0.669 0.533 0.080
H 0.331 0.467 0.920
H 0.831 0.033 0.920
H 0.331 0.467 0.580
H 0.169 0.967 0.080
H 0.669 0.533 0.420
H 0.169 0.967 0.420
H 0.831 0.033 0.580
H 0.950 0.906 0.750
H 0.050 0.094 0.250
H 0.550 0.406 0.250
H 0.450 0.594 0.750
H 0.772 0.483 0.511
H 0.228 0.517 0.489
H 0.728 0.983 0.489
H 0.228 0.517 0.011
H 0.272 0.017 0.511
H 0.772 0.483 0.989
H 0.272 0.017 0.989
H 0.728 0.983 0.011
H 0.630 0.958 0.584
H 0.370 0.042 0.416
H 0.870 0.458 0.416
H 0.370 0.042 0.084
H 0.130 0.542 0.584
H 0.630 0.958 0.916
H 0.130 0.542 0.916
H 0.870 0.458 0.084
H 0.637 0.633 0.697
H 0.363 0.367 0.303
H 0.863 0.133 0.303
H 0.363 0.367 0.197
H 0.137 0.867 0.697
H 0.637 0.633 0.803
H 0.137 0.867 0.803
H 0.863 0.133 0.197
Pb 0.862 0.326 0.750
Pb 0.138 0.674 0.250
Pb 0.638 0.826 0.250
Pb 0.362 0.174 0.750
N 0.746 0.953 0.552
N 0.254 0.047 0.448
N 0.754 0.453 0.448
N 0.254 0.047 0.052
N 0.246 0.547 0.552
N 0.746 0.953 0.948
N 0.246 0.547 0.948
N 0.754 0.453 0.052
N 0.563 0.659 0.750
N 0.437 0.341 0.250
N 0.937 0.159 0.250
N 0.063 0.841 0.750
Cl 0.958 0.822 0.125
Cl 0.042 0.178 0.875
Cl 0.542 0.322 0.875
Cl 0.042 0.178 0.625
Cl 0.458 0.678 0.125
Cl 0.958 0.822 0.375
Cl 0.458 0.678 0.375
Cl 0.542 0.322 0.625
Cl 0.705 0.020 0.750
Cl 0.295 0.980 0.250
Cl 0.795 0.520 0.250
Cl 0.205 0.480 0.750
Cl 0.863 0.614 0.618
Cl 0.137 0.386 0.382
Cl 0.637 0.114 0.382
Cl 0.137 0.386 0.118
Cl 0.363 0.886 0.618
Cl 0.863 0.614 0.882
Cl 0.363 0.886 0.882
Cl 0.637 0.114 0.118

Computed properties:
**D(E_F)**: 0.00 states/eV/atom
**Space-group type**: No. 62
**Calculated total energy**: -378.2 eV/cell

MgCd2Cu | PBEsol | relaxed

a = 3.037 Å, b = 4.405 Å, c = 5.617 Å
α = 90.00°, β = 106.09°, γ = 90.00°
Element x y z (fractional)
Mg 0.419 0.500 0.709
Cu 0.824 0.000 0.521
Cd 0.070 0.000 0.019
Cd 0.687 0.500 0.251

Computed properties:
**Calculated formation energy**: -0.001 eV/atom
**D(E_F)**: 0.27 states/eV/atom
**Space-group type**: No. 6

BSbAu2 | PBEsol | relaxed

a = 4.624 Å, b = 4.624 Å, c = 4.624 Å
α = 60.00°, β = 60.00°, γ = 60.00°
Element x y z (fractional)
Sb 0.500 0.500 0.500
B 0.000 0.000 0.000
Au 0.250 0.250 0.250
Au 0.750 0.750 0.750

Computed properties:
**D(E_F)**: 0.47 states/eV/atom
**Space-group type**: No. 225
**Calculated total energy**: -15.7 eV/cell

CaCdIn2 | PBEsol | relaxed

a = 4.594 Å, b = 4.594 Å, c = 5.696 Å
α = 113.78°, β = 113.78°, γ = 90.00°
Element x y z (fractional)
Ca 0.500 0.500 0.000
In 0.750 0.250 0.500
In 0.250 0.750 0.500
Cd 0.000 0.000 0.000

Computed properties:
**Calculated formation energy**: -0.264 eV/atom
**D(E_F)**: 0.58 states/eV/atom
**Space-group type**: No. 139

CePO4 | PBEsol | relaxed

a = 6.388 Å, b = 7.128 Å, c = 7.128 Å
α = 120.00°, β = 90.00°, γ = 90.00°
Site moments in Bohr magnetons follow the coordinates.
Element x y z (fractional)
Ce 0.167 0.000 0.500  0.98
Ce 0.500 0.500 0.500  0.98
Ce 0.833 0.500 0.000  0.98
P 0.333 0.500 0.000  0.00
P 0.667 0.000 0.500  0.00
P 0.000 0.500 0.500  0.00
O 0.185 0.308 0.862  -0.01
O 0.148 0.692 0.554  -0.01
O 0.815 0.138 0.692  -0.01
O 0.852 0.554 0.692  -0.01
O 0.518 0.862 0.554  -0.01
O 0.148 0.308 0.446  -0.01
O 0.482 0.446 0.138  -0.01
O 0.185 0.692 0.138  -0.01
O 0.518 0.138 0.446  -0.01
O 0.852 0.446 0.308  -0.01
O 0.815 0.862 0.308  -0.01
O 0.482 0.554 0.862  -0.01

Computed properties:
**D(E_F)**: 1.29 states/eV/atom
**Space-group type**: No. 181
**Calculated total energy**: -152.3 eV/cell

ZnCr5 | PBEsol | relaxed

a = 3.902 Å, b = 4.734 Å, c = 4.734 Å
α = 120.00°, β = 90.00°, γ = 90.00°
Element x y z (fractional)
Cr 0.500 0.000 0.500
Cr 0.000 0.667 0.333
Cr 0.500 0.500 0.500
Cr 0.500 0.500 0.000
Cr 0.000 0.333 0.667
Zn 0.000 0.000 0.000

Computed properties:
**Calculated formation energy**: 0.514 eV/atom
**D(E_F)**: 0.66 states/eV/atom
**Space-group type**: No. 191

Co2HgOs | PBEsol | relaxed

a = 2.670 Å, b = 2.670 Å, c = 8.872 Å
α = 90.00°, β = 90.00°, γ = 116.52°
Site moments in Bohr magnetons follow the coordinates.
Element x y z (fractional)
Co 0.000 0.000 0.988  1.74
Co 0.500 0.500 0.779  1.75
Os 0.500 0.500 0.219  0.28
Hg 0.000 0.000 0.513  -0.01

Computed properties:
**Calculated formation energy**: 0.639 eV/atom
**D(E_F)**: 1.37 states/eV/atom
**Space-group type**: No. 35

Cu2SiAu | PBEsol | relaxed

a = 2.872 Å, b = 4.090 Å, c = 4.544 Å
α = 90.00°, β = 90.00°, γ = 90.00°
Element x y z (fractional)
Si 0.500 0.000 0.567
Au 0.500 0.500 0.215
Cu 0.000 0.000 0.012
Cu 0.000 0.500 0.705

Computed properties:
**D(E_F)**: 0.31 states/eV/atom
**Space-group type**: No. 25
**Calculated total energy**: -18.5 eV/cell

SrIn2Cl | PBEsol | relaxed

a = 3.884 Å, b = 4.421 Å, c = 6.999 Å
α = 96.12°, β = 106.11°, γ = 90.00°
Element x y z (fractional)
Sr 0.000 0.500 0.000
Cl 0.500 0.000 0.000
In 0.266 0.261 0.532
In 0.734 0.739 0.468

Computed properties:
**D(E_F)**: 0.44 states/eV/atom
**Space-group type**: No. 12
**Calculated total energy**: -13.1 eV/cell

KRb2Na | PBEsol | relaxed

a = 7.240 Å, b = 7.240 Å, c = 7.240 Å
α = 60.00°, β = 60.00°, γ = 60.00°
Element x y z (fractional)
Na 0.000 0.000 0.000
K 0.500 0.500 0.500
Rb 0.250 0.250 0.250
Rb 0.750 0.750 0.750

Computed properties:
**Calculated formation energy**: 0.025 eV/atom
**D(E_F)**: 0.73 states/eV/atom
**Space-group type**: No. 225

Sr2WSe | PBEsol | relaxed

a = 3.415 Å, b = 3.415 Å, c = 9.157 Å
α = 90.00°, β = 90.00°, γ = 90.00°
Element x y z (fractional)
Se 0.500 0.500 0.685
Sr 0.000 0.000 0.925
Sr 0.500 0.500 0.318
W 0.000 0.000 0.572

Computed properties:
**D(E_F)**: 1.02 states/eV/atom
**Space-group type**: No. 99
**Calculated total energy**: -20.6 eV/cell

LiSiTe2 | PBEsol | relaxed

a = 3.956 Å, b = 3.956 Å, c = 8.578 Å
α = 76.67°, β = 76.67°, γ = 60.00°
Element x y z (fractional)
Si 0.500 0.500 0.500
Te 0.895 0.895 0.315
Te 0.105 0.105 0.685
Li 0.000 0.000 0.000

Computed properties:
**D(E_F)**: 0.37 states/eV/atom
**Space-group type**: No. 166
**Calculated total energy**: -15.4 eV/cell

CuSiSb2As | PBEsol | relaxed

a = 4.274 Å, b = 5.202 Å, c = 5.202 Å
α = 90.00°, β = 90.00°, γ = 90.00°
Element x y z (fractional)
Sb 0.000 0.000 0.500
Sb 0.000 0.500 0.000
As 0.500 0.500 0.500
Si 0.000 0.000 0.000
Cu 0.500 0.000 0.000

Computed properties:
**D(E_F)**: 0.60 states/eV/atom
**Space-group type**: No. 123
**Calculated total energy**: -21.2 eV/cell

Cs2AgH | PBEsol | relaxed

a = 7.497 Å, b = 7.497 Å, c = 7.497 Å
α = 107.98°, β = 110.22°, γ = 110.22°
Element x y z (fractional)
Cs 0.069 0.875 0.444
Cs 0.931 0.375 0.806
Cs 0.431 0.556 0.625
Cs 0.569 0.194 0.125
H 0.000 0.500 0.500
H 0.500 0.250 0.750
Ag 0.000 0.000 0.000
Ag 0.500 0.750 0.250

Computed properties:
**Space-group type**: No. 122
**Calculated total energy**: -16.2 eV/cell